<w>
LaSc2Tl: relaxed, PBE.

abc: 6.3338 6.3338 3.3451
angles: 102.73 102.73 116.62
Element x y z (fractional)
La 0.0000 0.0000 0.0000
Sc 0.0000 0.5000 0.5000
Sc 0.5000 0.0000 0.5000
Tl 0.5000 0.5000 0.0000

As for the volume: 108.9 Å³ per cell. Its space group is No. 12.

***

<x>
LaSc2Tl: relaxed, PBE.

abc: 3.6384 5.1928 5.7003
angles: 90.00 90.00 90.00
Element x y z (fractional)
La 0.0000 0.0000 0.0000
Sc 0.0000 0.5000 0.5000
Sc 0.5000 0.5000 0.0000
Tl 0.5000 0.0000 0.5000

As for the volume: 107.7 Å³ per cell. Its space group is No. 47.

***

<y>
LaSc2Tl: relaxed, PBE.

abc: 3.3425 3.3425 10.8065
angles: 90.00 90.00 114.33
Element x y z (fractional)
La 0.0000 0.0000 0.0000
Sc 0.5000 0.5000 0.2700
Sc 0.5000 0.5000 0.7300
Tl 0.0000 0.0000 0.5000

As for the volume: 110.0 Å³ per cell. Its space group is No. 65.

***

<z>
LaSc2Tl: relaxed, PBE.

abc: 3.4940 5.0395 6.4700
angles: 90.00 103.54 90.00
Element x y z (fractional)
La 0.0000 0.0000 0.0000
Sc 0.3401 0.5000 0.7291
Sc 0.6599 0.5000 0.2709
Tl 0.5000 0.0000 0.5000

As for the volume: 110.8 Å³ per cell. Its space group is No. 10.

***

Last place for stability: <y>

***

<w>
LaSc3Tl: relaxed, PBE.

abc: 5.2537 5.2537 5.2537
angles: 90.00 90.00 90.00
Element x y z (fractional)
La 0.0000 0.0000 0.0000
Sc 0.0000 0.0000 0.5000
Sc 0.0000 0.5000 0.0000
Sc 0.5000 0.0000 0.0000
Tl 0.5000 0.5000 0.5000

As for the volume: 145.0 Å³ per cell. Its space group is No. 221.

***

<x>
LaSc3Tl: relaxed, PBE.

abc: 5.4495 5.4495 5.4495
angles: 90.00 90.00 90.00
Element x y z (fractional)
La 0.0000 0.0000 0.0000
Sc 0.0000 0.5000 0.5000
Sc 0.5000 0.0000 0.5000
Sc 0.5000 0.5000 0.0000
Tl 0.5000 0.5000 0.5000

As for the volume: 161.8 Å³ per cell. Its space group is No. 221.

***

Last place for stability: <w>

***

<w>
LaTm2Sc: relaxed, PBE.

abc: 6.6055 6.6055 6.6055
angles: 148.41 64.51 125.35
Element x y z (fractional)
La 0.0000 0.0000 0.0000
Tm 0.1183 0.3587 0.7596
Tm 0.5990 0.3587 0.2404
Sc 0.5117 0.0117 0.5000

As for the volume: 121.8 Å³ per cell. Its space group is No. 44.

***

<x>
LaTm2Sc: relaxed, PBE.

abc: 4.9086 4.9086 5.0435
angles: 90.00 90.00 90.00
Element x y z (fractional)
La 0.0000 0.0000 0.0000
Tm 0.0000 0.5000 0.5000
Tm 0.5000 0.0000 0.5000
Sc 0.5000 0.5000 0.0000

As for the volume: 121.5 Å³ per cell. Its space group is No. 123.

***

<y>
LaTm2Sc: relaxed, PBE.

abc: 5.5759 5.5759 5.5759
angles: 60.00 60.00 60.00
Element x y z (fractional)
La 0.0000 0.0000 0.0000
Tm 0.2500 0.2500 0.2500
Tm 0.7500 0.7500 0.7500
Sc 0.5000 0.5000 0.5000

As for the volume: 122.6 Å³ per cell. Its space group is No. 225.

***

Last place for stability: <y>